Entry A
LaWBr2 | SCAN | single point on PBEsol structure

a = 5.013 Å, b = 5.013 Å, c = 5.013 Å
α = 60.00°, β = 60.00°, γ = 60.00°
Site moments in Bohr magnetons follow the coordinates.
Positions (direct):
W 0.500 0.500 0.500  1.87
Br 0.250 0.250 0.250  0.08
La 0.000 0.000 0.000  0.11
Br 0.750 0.750 0.750  0.08

Values from the calculation:
**Total moment**: 2.972 μB per cell

Entry B
LaWBr2 | SCAN | single point on PBEsol structure

a = 3.379 Å, b = 3.379 Å, c = 9.437 Å
α = 90.00°, β = 90.00°, γ = 90.00°
Site moments in Bohr magnetons follow the coordinates.
Positions (direct):
Br 0.000 0.000 0.803  0.03
W 0.500 0.500 0.500  2.77
La 0.500 0.500 0.000  0.02
Br 0.000 0.000 0.197  0.03

Values from the calculation:
**Total moment**: 3.997 μB per cell

Which of them is most stable? Easy: entry A.

Entry A
LaWBr2 | SCAN | single point on PBEsol structure

a = 3.220 Å, b = 3.220 Å, c = 9.532 Å
α = 80.28°, β = 80.28°, γ = 60.00°
Positions (direct):
W 0.000 0.000 0.000
Br 0.737 0.737 0.790
Br 0.263 0.263 0.210
La 0.500 0.500 0.500

Values from the calculation:
**Total moment**: 0.000 μB per cell

Entry B
LaWBr2 | SCAN | single point on PBEsol structure

a = 3.222 Å, b = 3.349 Å, c = 9.348 Å
α = 90.00°, β = 90.00°, γ = 118.75°
Positions (direct):
Br 0.000 0.000 0.217
W 0.500 0.000 0.000
Br 0.000 0.000 0.783
La 0.500 0.000 0.500

Values from the calculation:
**Total moment**: 0.002 μB per cell

Which of them is most stable? Easy: entry A.